Record 1
The following is a DFT calculation (PBE-GGA) of an optimized crystal structure of Li3Sn.

Final energy in eV per atom: -2.819
Spin magnetization in μB/atom: 0.00
DOS(E_F) in states/eV per atom: 0.31

Cell lengths 6.562, 6.562, 6.562 Å; angles 90.00, 90.00, 90.00 degrees
Space group Fm-3m (No. 225)
Inequivalent atoms, fractional coordinates:
Li: 0.000 0.000 0.000 (multiplicity 4)
Li: 0.250 0.250 0.250 (multiplicity 8)
Sn: 0.000 0.000 0.500 (multiplicity 4)

***

Record 2
The following is a DFT calculation (PBE-GGA) of an optimized crystal structure of Li5Sn2.

Spin magnetization in μB/atom: 0.00
E above lowest polymorph in eV/atom: 0.000
DOS(E_F) in states/eV per atom: 0.31

Cell lengths 4.7160, 4.7160, 19.7762 Å; angles 90.00, 90.00, 120.00 degrees
Space group R-3m (No. 166, hexagonal axes)
Inequivalent atoms, fractional coordinates:
Li: 0.0000 0.0000 0.0000 (multiplicity 3)
Li: 0.0000 0.0000 0.1456 (multiplicity 6)
Li: 0.0000 0.0000 0.2857 (multiplicity 6)
Sn: 0.0000 0.0000 0.4263 (multiplicity 6)

***

Record 3
The following is a DFT calculation (PBE-GGA) of an optimized crystal structure of Sr3LiSn.

Spin magnetization in μB/atom: 0.00
E above lowest polymorph in eV/atom: 0.000
DOS(E_F) in states/eV per atom: 1.10

Cell lengths 6.417, 6.417, 6.417 Å; angles 90.00, 90.00, 90.00 degrees
Space group Pm-3m (No. 221)
Inequivalent atoms, fractional coordinates:
Sr: 0.000 0.000 0.500 (multiplicity 3)
Li: 0.500 0.500 0.500 (multiplicity 1)
Sn: 0.000 0.000 0.000 (multiplicity 1)

***

Record 4
The following is a DFT calculation (PBE-GGA) of an optimized crystal structure of SrLi4Sn2.

Final energy in eV per atom: -2.856
Spin magnetization in μB/atom: 0.00
DOS(E_F) in states/eV per atom: 0.88

Cell lengths 8.336, 8.336, 4.764 Å; angles 90.00, 90.00, 90.00 degrees
Space group P4_2/mnm (No. 136)
Inequivalent atoms, fractional coordinates:
Sr: 0.000 0.000 0.000 (multiplicity 2)
Li: 0.103 0.353 0.500 (multiplicity 8)
Sn: 0.215 0.785 0.500 (multiplicity 4)

***

Look up the spin magnetization of the fourth one. 0.00 μB/atom

***

What is the spin magnetization in the first record? 0.00 μB/atom

***

Repeat the third record exactly.
The following is a DFT calculation (PBE-GGA) of an optimized crystal structure of Sr3LiSn.

Spin magnetization in μB/atom: 0.00
E above lowest polymorph in eV/atom: 0.000
DOS(E_F) in states/eV per atom: 1.10

Cell lengths 6.417, 6.417, 6.417 Å; angles 90.00, 90.00, 90.00 degrees
Space group Pm-3m (No. 221)
Inequivalent atoms, fractional coordinates:
Sr: 0.000 0.000 0.500 (multiplicity 3)
Li: 0.500 0.500 0.500 (multiplicity 1)
Sn: 0.000 0.000 0.000 (multiplicity 1)

***

Look up the spin magnetization of the first one. 0.00 μB/atom